# Co3Cu3Te2O12

Crystalline Co3Cu3Te2O12 at its relaxed geometry (PBE+U, the Alexandria database).

The space group is I2_13 (No. 199) and the conventional cell measures 9.690, 9.690 and 9.690 Å, with angles of 90.00, 90.00 and 90.00 degrees. The distinct sites, in fractional coordinates, are Co at (0.000, 0.250, 0.963), Cu at (0.000, 0.250, 0.469), Te at (0.246, 0.254, 0.746), O at (0.109, 0.378, 0.829) and O at (0.114, 0.126, 0.334).

For the calculated total energy, the calculation gives -5.53 eV/atom. For the volume, the calculation gives 11.4 A^3/atom. As for the crystal system: cubic.